[1]
This record from Alexandria via LeMat-Bulk describes Hg2P2W after structural relaxation. The functional is PBE.

Calculated values
energy of formation from the pure elements	1.19	eV/atom
D(E_F)	7.04	states/eV per cell

Cell: 7.372 7.372 3.477 Å, 90.00 90.00 90.00°
Space group P4/mbm (No. 127)
Symmetry-distinct sites (fractional):
Hg (0.135, 0.365, 0.000) [4 per cell]
P (0.177, 0.677, 0.500) [4 per cell]
W (0.000, 0.000, 0.000) [2 per cell]


[2]
This record from Alexandria via LeMat-Bulk describes YHg2Cl after structural relaxation. The functional is PBE.

Calculated values
D(E_F)	2.25	states/eV per cell
uncorrected formation energy	-567	meV/atom

Cell: 3.667 5.274 5.585 Å, 90.00 90.00 90.00°
Space group Pmmm (No. 47)
Symmetry-distinct sites (fractional):
Y (0.000, 0.000, 0.000) [1 per cell]
Hg (0.500, 0.500, 0.249) [2 per cell]
Cl (0.000, 0.000, 0.500) [1 per cell]


[3]
This record from Alexandria via LeMat-Bulk describes MgZr2Se after structural relaxation. The functional is PBE.

Calculated values
D(E_F)	10.67	states/eV per cell
uncorrected formation energy	-414	meV/atom

Cell: 3.6451 3.6451 24.0742 Å, 90.00 90.00 120.00°
Space group R3m (No. 160, hexagonal axes)
Symmetry-distinct sites (fractional):
Mg (0.0000, 0.0000, 0.0000) [3 per cell]
Zr (0.0000, 0.0000, 0.5672) [3 per cell]
Zr (0.0000, 0.0000, 0.7674) [3 per cell]
Se (0.0000, 0.0000, 0.1674) [3 per cell]


[4]
This record from Alexandria via LeMat-Bulk describes BeIn2PPd after structural relaxation. The functional is PBE.

Calculated values
energy of formation from the pure elements	0.35	eV/atom
D(E_F)	2.17	states/eV per cell

Cell: 5.342 5.342 3.777 Å, 90.00 90.00 90.00°
Space group P4/mmm (No. 123)
Symmetry-distinct sites (fractional):
Be (0.000, 0.000, 0.000) [1 per cell]
In (0.000, 0.500, 0.500) [2 per cell]
P (0.000, 0.000, 0.500) [1 per cell]
Pd (0.500, 0.500, 0.000) [1 per cell]


[5]
This record from Alexandria via LeMat-Bulk describes Y2ZnCu after structural relaxation. The functional is PBE.

Calculated values
energy of formation from the pure elements	-0.27	eV/atom
D(E_F)	2.92	states/eV per cell

Cell: 3.688 4.615 5.368 Å, 90.00 99.50 90.00°
Space group Pm (No. 6)
Symmetry-distinct sites (fractional):
Y (0.000, 0.000, 0.000) [1 per cell]
Y (0.189, 0.500, 0.550) [1 per cell]
Zn (0.552, 0.500, 0.107) [1 per cell]
Cu (0.642, 0.000, 0.427) [1 per cell]


[6]
This record from Alexandria via LeMat-Bulk describes ErNbFe after structural relaxation. The functional is PBE.

Calculated values
energy of formation from the pure elements	0.10	eV/atom
D(E_F)	7.81	states/eV per cell

Cell: 3.220 3.220 10.903 Å, 90.00 90.00 90.00°
Space group I4mm (No. 107)
Symmetry-distinct sites (fractional):
Er (0.000, 0.000, 0.000) [2 per cell]
Nb (0.000, 0.000, 0.294) [2 per cell]
Fe (0.000, 0.000, 0.683) [2 per cell]


[7]
This record from Alexandria via LeMat-Bulk describes Er2Al4CuNi3 after structural relaxation. The functional is PBE.

Calculated values
energy of formation from the pure elements	-0.54	eV/atom
D(E_F)	4.59	states/eV per cell

Cell: 3.973 3.973 10.445 Å, 90.00 90.00 90.00°
Space group P-4m2 (No. 115)
Symmetry-distinct sites (fractional):
Er (0.000, 0.500, 0.243) [2 per cell]
Al (0.000, 0.000, 0.000) [1 per cell]
Al (0.000, 0.500, 0.632) [2 per cell]
Al (0.500, 0.500, 0.000) [1 per cell]
Cu (0.000, 0.000, 0.500) [1 per cell]
Ni (0.000, 0.500, 0.862) [2 per cell]
Ni (0.500, 0.500, 0.500) [1 per cell]


[8]
This record from Alexandria via LeMat-Bulk describes Ta3TeRh after structural relaxation. The functional is PBE.

Calculated values
D(E_F)	6.24	states/eV per cell
uncorrected formation energy	1000	meV/atom

Cell: 4.857 4.857 4.857 Å, 90.00 90.00 90.00°
Space group Pm-3m (No. 221)
Symmetry-distinct sites (fractional):
Ta (0.000, 0.000, 0.500) [3 per cell]
Te (0.500, 0.500, 0.500) [1 per cell]
Rh (0.000, 0.000, 0.000) [1 per cell]


Question: Which of these has the lowest D(E_F)?
Answer: BeIn2PPd


Copy entry 6 word for word.
This record from Alexandria via LeMat-Bulk describes ErNbFe after structural relaxation. The functional is PBE.

Calculated values
energy of formation from the pure elements	0.10	eV/atom
D(E_F)	7.81	states/eV per cell

Cell: 3.220 3.220 10.903 Å, 90.00 90.00 90.00°
Space group I4mm (No. 107)
Symmetry-distinct sites (fractional):
Er (0.000, 0.000, 0.000) [2 per cell]
Nb (0.000, 0.000, 0.294) [2 per cell]
Fe (0.000, 0.000, 0.683) [2 per cell]


Question: The highest D(E_F) belongs to which entry?
Answer: MgZr2Se